Crystalline Ba2InBi2 at its relaxed geometry. Source: the Alexandria database, functional PBE.

Lattice parameters (Å, degrees): 7.057 7.057 6.822 58.85 58.85 90.00
Atoms (fractional coordinates):
Ba 0.250 0.750 0.500
Bi 0.685 0.685 0.630
Ba 0.750 0.250 0.500
In 0.000 0.000 0.000
Bi 0.315 0.315 0.370

Output
magnetization = 0.0 μB per cell
excess energy over the best structure of this formula in the dataset = 0.267 eV per atom
energy of formation = -0.421 eV per atom
E_tot = -16.45 eV per cell

***

Crystalline In6Hg2Au at its relaxed geometry. Source: the Alexandria database, functional PBE.

Lattice parameters (Å, degrees): 4.680 6.562 8.410 78.79 90.00 110.89
Atoms (fractional coordinates):
In 0.800 0.601 0.766
In 0.200 0.399 0.234
In 0.639 0.278 0.510
Au 0.000 0.000 0.500
Hg 0.606 0.213 0.076
In 0.093 0.187 0.805
In 0.907 0.813 0.195
Hg 0.394 0.787 0.924
In 0.361 0.722 0.490

Output
magnetization = 0.0 μB per cell
energy of formation = -0.036 eV per atom
E_tot = -20.64 eV per cell

***

Crystalline Nd2MgS4 at its relaxed geometry. Source: the Alexandria database, functional PBE.

Lattice parameters (Å, degrees): 7.371 7.371 7.371 110.99 110.99 106.47
Atoms (fractional coordinates):
S 0.623 0.890 0.130
Nd 0.506 0.125 0.881
S 0.243 0.010 0.370
S 0.507 0.377 0.267
Nd 0.244 0.625 0.119
Nd 0.375 0.494 0.619
Mg 0.750 0.250 0.500
S 0.127 0.757 0.767
S 0.990 0.360 0.233
S 0.110 0.240 0.733
Mg 0.000 0.000 0.000
S 0.760 0.493 0.870
S 0.640 0.873 0.630
Nd 0.875 0.756 0.381

Output
formation energy without anion corrections = -1.80 eV/atom
magnetization = 0.0 μB per cell
excess energy over the best structure of this formula in the dataset = 0.034 eV per atom
E_tot = -80.50 eV per cell

***

Crystalline TaMnBe2 at its relaxed geometry. Source: the Alexandria database, functional PBE.

Lattice parameters (Å, degrees): 6.262 3.593 3.649 90.03 54.31 125.12
Atoms (fractional coordinates):
Be 0.000 0.000 0.000
Be 0.500 0.000 0.500
Mn 0.000 0.500 0.500
Ta 0.500 0.500 0.000

Output
magnetization = 1.1 μB per cell
excess energy over the best structure of this formula in the dataset = 0.149 eV per atom
energy of formation = 0.028 eV per atom
E_tot = -28.36 eV per cell

***

Crystalline InAg2 at its relaxed geometry. Source: the Alexandria database, functional PBE.

Lattice parameters (Å, degrees): 6.681 6.681 6.681 90.00 90.00 90.00
Atoms (fractional coordinates):
In 0.000 0.500 0.500
Ag 0.379 0.379 0.621
In 0.500 0.500 0.000
In 0.500 0.000 0.500
Ag 0.121 0.879 0.621
Ag 0.379 0.121 0.121
Ag 0.879 0.121 0.379
Ag 0.621 0.621 0.379
In 0.000 0.000 0.000
Ag 0.621 0.879 0.879
Ag 0.879 0.379 0.879
Ag 0.121 0.621 0.121

Output
magnetization = 0.0 μB per cell
energy of formation = 0.370 eV per atom
E_tot = -29.33 eV per cell

***

Crystalline Dy4AuSe3 at its relaxed geometry. Source: the Alexandria database, functional PBE.

Lattice parameters (Å, degrees): 4.012 7.202 7.202 108.51 90.00 90.00
Atoms (fractional coordinates):
Dy 0.000 0.245 0.245
Dy 0.500 0.751 0.249
Se 0.500 0.500 0.500
Se 0.000 0.000 0.500
Au 0.500 0.000 0.000
Dy 0.000 0.755 0.755
Se 0.000 0.500 0.000
Dy 0.500 0.249 0.751

Output
formation energy without anion corrections = -1.53 eV/atom
magnetization = 0.0 μB per cell
E_tot = -44.34 eV per cell

***

> Among the records above, which one has the highest E_tot?

Ba2InBi2